Entry 1:
! KNaN4 PBE optimized geometry; values from VASP
! - Symmetry: I4_1/amd (141)
&SYSTEM
  ibrav = 0, nat = 12, ntyp = 3
/
ATOMIC_SPECIES
K 39.10 K.upf
Na 22.99 Na.upf
N 14.01 N.upf
ATOMIC_POSITIONS crystal
K 0.3750 0.6250 0.7500
K 0.6250 0.3750 0.2500
Na 0.1250 0.8750 0.2500
Na 0.8750 0.1250 0.7500
N 0.1255 0.2760 0.6505
N 0.1255 0.4750 0.8495
N 0.2760 0.1255 0.1505
N 0.4750 0.1255 0.3495
N 0.5250 0.8745 0.6505
N 0.7240 0.8745 0.8495
N 0.8745 0.5250 0.1505
N 0.8745 0.7240 0.3495
CELL_PARAMETERS angstrom
-2.9748 2.9748 5.8114
2.9748 -2.9748 5.8114
2.9748 2.9748 -5.8114


Entry 2:
! KNa2N PBE optimized geometry; values from VASP
! - Symmetry: I4_1/amd (141)
&SYSTEM
  ibrav = 0, nat = 8, ntyp = 3
/
ATOMIC_SPECIES
K 39.10 K.upf
Na 22.99 Na.upf
N 14.01 N.upf
ATOMIC_POSITIONS crystal
K 0.3750 0.6250 0.7500
K 0.6250 0.3750 0.2500
Na 0.0000 0.0000 0.0000
Na 0.0000 0.0000 0.5000
Na 0.0000 0.5000 0.0000
Na 0.5000 0.0000 0.5000
N 0.1250 0.8750 0.2500
N 0.8750 0.1250 0.7500
CELL_PARAMETERS angstrom
-3.5441 3.5441 5.5008
3.5441 -3.5441 5.5008
3.5441 3.5441 -5.5008


Entry 3:
! K2NaN6 PBE optimized geometry; values from VASP
! - Symmetry: Cmmm (65)
&SYSTEM
  ibrav = 0, nat = 9, ntyp = 3
/
ATOMIC_SPECIES
K 39.10 K.upf
Na 22.99 Na.upf
N 14.01 N.upf
ATOMIC_POSITIONS crystal
K 0.1668 0.8332 0.0000
K 0.8332 0.1668 0.0000
Na 0.5000 0.5000 0.5000
N 0.0000 0.0000 0.3956
N 0.0000 0.0000 0.6044
N 0.0000 0.5000 0.3956
N 0.0000 0.5000 0.6044
N 0.5000 0.0000 0.3956
N 0.5000 0.0000 0.6044
CELL_PARAMETERS angstrom
3.0172 -5.2195 0.0000
3.0172 5.2195 0.0000
0.0000 0.0000 5.5836


Entry 4:
! KNa3N4 PBE optimized geometry; values from VASP
! - Symmetry: P1 (1)
&SYSTEM
  ibrav = 0, nat = 8, ntyp = 3
/
ATOMIC_SPECIES
K 39.10 K.upf
Na 22.99 Na.upf
N 14.01 N.upf
ATOMIC_POSITIONS crystal
K 0.0000 0.0000 0.0000
Na 0.2312 0.1704 0.5036
Na 0.7728 0.7689 0.7251
Na 0.8083 0.5093 0.2590
N 0.4697 0.7149 0.4081
N 0.4802 0.1155 0.8286
N 0.5681 0.9663 0.3550
N 0.6360 0.3906 0.8814
CELL_PARAMETERS angstrom
3.5561 0.0000 0.0000
-1.6865 3.5053 0.0000
-1.5361 -0.7822 14.1451


We obtain size of the total moment values of 2.79; 0.03; 0.00; 0.00 μB/cell for the records listed above, in that order.
We obtain formation energy without anion corrections values of -8; 44; -4; 2 kJ/mol of atoms for the records listed above, in that order.
We obtain electronic total energy values of -6.04; -2.56; -5.98; -4.77 eV per atom for the records listed above, in that order.